Nb2Pd3Se8 | GGA-PBEsol | optimized geometry

Values from the calculation:
* energy relative to the elements, uncorrected: -0.6355 eV per atom
* space group: Pbam
* total DFT energy (no corrections): -6.0448 eV/atom
* total magnetic moment: 0.00 μB/f.u.

Cell: 3.5506 10.7009 15.0320 Å, 90.00 90.00 90.00°
Closest atoms and distances in Å follow each position.
Sites, in units of the cell vectors:
1 Nb 0.5000 0.7930 0.8818  6 Se 2.56-2.61
2 Nb 0.5000 0.2070 0.1182  6 Se 2.56-2.61
3 Nb 0.5000 0.2930 0.6182  6 Se 2.56-2.61
4 Nb 0.5000 0.7070 0.3818  6 Se 2.56-2.61
5 Pd 0.0000 0.0000 0.0000  4 Se 2.42-2.45
6 Pd 0.0000 0.5000 0.5000  4 Se 2.42-2.45
7 Pd 0.0000 0.6288 0.7799  5 Se 2.47-2.55
8 Pd 0.0000 0.3712 0.2201  5 Se 2.47-2.55
9 Pd 0.0000 0.1288 0.7201  5 Se 2.47-2.55
10 Pd 0.0000 0.8712 0.2799  5 Se 2.47-2.55
11 Se 0.0000 0.7716 0.0084  1 Pd 2.45, 2 Nb 2.61
12 Se 0.0000 0.2284 0.9916  1 Pd 2.45, 2 Nb 2.61
13 Se 0.0000 0.2716 0.4916  1 Pd 2.45, 2 Nb 2.61
14 Se 0.0000 0.7284 0.5084  1 Pd 2.45, 2 Nb 2.61
15 Se 0.0000 0.9626 0.8413  2 Pd 2.42-2.55, 2 Nb 2.61
16 Se 0.0000 0.0374 0.1587  2 Pd 2.42-2.55, 2 Nb 2.61
17 Se 0.0000 0.4626 0.6587  2 Pd 2.42-2.55, 2 Nb 2.61
18 Se 0.0000 0.5374 0.3413  2 Pd 2.42-2.55, 2 Nb 2.61
19 Se 0.5000 0.7584 0.7131  2 Pd 2.47, 1 Nb 2.56
20 Se 0.5000 0.2416 0.2869  2 Pd 2.47, 1 Nb 2.56
21 Se 0.5000 0.2584 0.7869  2 Pd 2.47, 1 Nb 2.56
22 Se 0.5000 0.7416 0.2131  2 Pd 2.47, 1 Nb 2.56
23 Se 0.5000 0.5526 0.8799  2 Pd 2.47, 1 Nb 2.57
24 Se 0.5000 0.4474 0.1201  2 Pd 2.47, 1 Nb 2.57
25 Se 0.5000 0.0526 0.6201  2 Pd 2.47, 1 Nb 2.57
26 Se 0.5000 0.9474 0.3799  2 Pd 2.47, 1 Nb 2.57

---

NbSnPd2Se | GGA-PBEsol | optimized geometry

Values from the calculation:
* energy relative to the elements, uncorrected: 0.9698 eV per atom
* space group: P4/mmm
* total DFT energy (no corrections): -5.1998 eV/atom
* total magnetic moment: 0.00 μB/f.u.

Cell: 4.7495 4.7495 5.4096 Å, 90.00 90.00 90.00°
Closest atoms and distances in Å follow each position.
Sites, in units of the cell vectors:
1 Nb 0.0000 0.0000 0.0000  4 Pd 2.37
2 Se 0.5000 0.5000 0.5000  4 Sn 3.36, 8 Pd 3.60
3 Sn 0.0000 0.0000 0.5000  2 Nb 2.70
4 Pd 0.0000 0.5000 0.0000  2 Nb 2.37
5 Pd 0.5000 0.0000 0.0000  2 Nb 2.37

---

Nb2Si2Pd | GGA-PBEsol | optimized geometry

Values from the calculation:
* energy relative to the elements, uncorrected: -0.6914 eV per atom
* space group: C2/m
* total DFT energy (no corrections): -8.5103 eV/atom
* total magnetic moment: 0.00 μB/f.u.

Cell: 3.7033 5.4044 8.2986 Å, 82.34 77.11 69.96°
Closest atoms and distances in Å follow each position.
Sites, in units of the cell vectors:
1 Nb 0.8030 0.2934 0.1006  4 Si 2.61-2.72
2 Nb 0.1970 0.7066 0.8994  4 Si 2.61-2.72
3 Nb 0.9705 0.3725 0.6864  6 Si 2.64-2.78, 3 Pd 2.88-2.91
4 Nb 0.0295 0.6275 0.3136  6 Si 2.64-2.78, 3 Pd 2.88-2.91
5 Si 0.6317 0.2998 0.4369  1 Si 2.33, 3 Pd 2.34-2.41
6 Si 0.3683 0.7002 0.5631  1 Si 2.33, 3 Pd 2.34-2.41
7 Si 0.5315 0.8287 0.1084  1 Pd 2.37, 1 Si 2.39, 4 Nb 2.61-2.65
8 Si 0.4685 0.1713 0.8916  1 Pd 2.37, 1 Si 2.39, 4 Nb 2.61-2.65
9 Pd 0.2928 0.0598 0.3546  4 Si 2.34-2.41
10 Pd 0.7072 0.9402 0.6454  4 Si 2.34-2.41